Here is crystalline Zn2BiPd2 at its relaxed geometry from the Alexandria database. Energies are from PBE-GGA.

Symmetry ... I4/mmm
Crystal system ... tetragonal
N(E_F) ... 1.54 states/eV/f.u.
V ... 91.2 Å³/cell
DFT formation energy ... -288 meV per atom
Magnetization ... 0.0 μB/cell
VASP energy ... -3.651 eV/atom

Structure (POSCAR):
```
Zn2BiPd2
1.0
3.694 0.000 0.000
0.000 3.694 0.000
1.847 1.847 6.681
Zn Bi Pd
2 1 2
Direct
0.750 0.250 0.500 Zn
0.250 0.750 0.500 Zn
0.000 0.000 0.000 Bi
0.392 0.392 0.216 Pd
0.608 0.608 0.784 Pd
```

***

Here is crystalline Zn2BiPd2 at its relaxed geometry from the Alexandria database. Energies are from PBE-GGA.

Symmetry ... I4/mmm
Crystal system ... tetragonal
N(E_F) ... 2.06 states/eV/f.u.
V ... 95.2 Å³/cell
DFT formation energy ... -171 meV per atom
Magnetization ... 0.0 μB/cell
VASP energy ... -3.534 eV/atom

Structure (POSCAR):
```
Zn2BiPd2
1.0
-0.846 -2.270 3.621
3.755 -2.157 -0.475
3.804 1.273 4.307
Zn Bi Pd
2 1 2
Direct
0.377 0.377 0.246 Zn
0.623 0.623 0.754 Zn
0.000 0.000 0.000 Bi
0.750 0.250 0.500 Pd
0.250 0.750 0.500 Pd
```

***

Here is crystalline Zn2BiPd2 at its relaxed geometry from the Alexandria database. Energies are from PBE-GGA.

Symmetry ... P4/mbm
Crystal system ... tetragonal
N(E_F) ... 2.00 states/eV/f.u.
V ... 177.3 Å³/cell
DFT formation energy ... -296 meV per atom
Magnetization ... 0.0 μB/cell
VASP energy ... -3.659 eV/atom

Structure (POSCAR):
```
Zn2BiPd2
1.0
7.659 0.000 0.000
0.000 7.659 0.000
0.000 0.000 3.023
Zn Bi Pd
4 2 4
Direct
0.150 0.650 0.500 Zn
0.650 0.850 0.500 Zn
0.850 0.350 0.500 Zn
0.350 0.150 0.500 Zn
0.000 0.000 0.000 Bi
0.500 0.500 0.000 Bi
0.359 0.859 0.000 Pd
0.859 0.641 0.000 Pd
0.641 0.141 0.000 Pd
0.141 0.359 0.000 Pd
```

***

Look up the DFT formation energy of the first one.
-288 meV per atom